(1)
Compound: MgC5
Source: the Alexandria database
Functional: PBE
Structure: optimized geometry

Structure (POSCAR):
```
MgC5
1.0
1.282 -7.183 0.000
1.282 7.183 0.000
0.000 0.000 2.781
Mg C
1 5
Cartesian
1.282 5.508 1.390
1.282 -4.166 0.000
1.282 2.201 0.000
1.282 -2.823 0.000
1.282 1.229 1.390
1.282 -6.737 1.390
```

Values from the calculation:
total DFT energy (no corrections) = -7.10 eV/atom
ΔE_f = 0.85 eV/atom
energy relative to the lowest polymorph listed for this composition = 0.147 eV/atom
symmetry = Amm2, No. 38

(2)
Compound: MgC
Source: the Alexandria database
Functional: PBE
Structure: optimized geometry

Structure (POSCAR):
```
MgC
1.0
8.474 0.000 0.000
0.000 8.554 0.000
0.000 0.000 6.966
Mg C
16 16
Cartesian
0.000 6.588 0.000
0.000 1.966 0.000
2.119 8.382 1.742
2.119 4.449 1.742
0.000 2.311 3.483
0.000 6.244 3.483
2.119 4.105 5.225
2.119 0.172 5.225
4.237 6.588 3.483
4.237 1.966 3.483
6.356 8.382 5.225
6.356 4.449 5.225
4.237 2.311 0.000
4.237 6.244 0.000
6.356 4.105 1.742
6.356 0.172 1.742
4.878 0.000 0.000
3.596 0.000 0.000
5.715 6.416 1.742
6.997 6.416 1.742
4.878 4.277 3.483
3.596 4.277 3.483
5.715 2.139 5.225
6.997 2.139 5.225
0.641 0.000 3.483
7.834 0.000 3.483
1.478 6.416 5.225
2.759 6.416 5.225
0.641 4.277 0.000
7.834 4.277 0.000
1.478 2.139 1.742
2.759 2.139 1.742
```

Values from the calculation:
total DFT energy (no corrections) = -4.89 eV/atom
ΔE_f = 0.52 eV/atom
energy relative to the lowest polymorph listed for this composition = 0.217 eV/atom
symmetry = Fddd, No. 70

Q: Which value of total DFT energy (no corrections) does entry 1 give?
A: -7.10 eV/atom